A:
A relaxed structure of Ti2AlHPt. Source: the Alexandria database, functional GGA-PBE.

Cell and atoms, written as CIF:
```
data_Ti2AlHPt
_chemical_formula_sum 'Ti2 Al1 H1 Pt1'
_cell_length_a 4.007
_cell_length_b 4.007
_cell_length_c 4.036
_cell_angle_alpha 90.00
_cell_angle_beta 90.00
_cell_angle_gamma 90.00
_space_group_name_H-M_alt 'P 4/m m m'
_space_group_IT_number 123
_space_group_name_Hall '-P 4 2'
loop_
_atom_site_label
_atom_site_type_symbol
_atom_site_fract_x
_atom_site_fract_y
_atom_site_fract_z
Ti1 Ti 0.000 0.500 0.000
Al1 Al 0.000 0.000 0.500
H1 H 0.500 0.500 0.000
Pt1 Pt 0.500 0.500 0.500
```

B:
A relaxed structure of Ti2AlHPt. Source: the Alexandria database, functional GGA-PBE.

Cell and atoms, written as CIF:
```
data_Ti2AlHPt
_chemical_formula_sum 'Ti2 Al1 H1 Pt1'
_cell_length_a 3.872
_cell_length_b 3.872
_cell_length_c 4.267
_cell_angle_alpha 90.00
_cell_angle_beta 90.00
_cell_angle_gamma 90.00
_space_group_name_H-M_alt 'P 4/m m m'
_space_group_IT_number 123
_space_group_name_Hall '-P 4 2'
loop_
_atom_site_label
_atom_site_type_symbol
_atom_site_fract_x
_atom_site_fract_y
_atom_site_fract_z
Ti1 Ti 0.000 0.500 0.000
Al1 Al 0.000 0.000 0.500
H1 H 0.000 0.000 0.000
Pt1 Pt 0.500 0.500 0.500
```

Q: Which of them is the least stable? A: A.

A:
A relaxed structure of Al2VHPt. Source: the Alexandria database, functional GGA-PBE.

Cell and atoms, written as CIF:
```
data_Al2VHPt
_chemical_formula_sum 'Al2 V1 H1 Pt1'
_cell_length_a 4.146
_cell_length_b 4.146
_cell_length_c 3.489
_cell_angle_alpha 90.00
_cell_angle_beta 90.00
_cell_angle_gamma 90.00
_space_group_name_H-M_alt 'P 4/m m m'
_space_group_IT_number 123
_space_group_name_Hall '-P 4 2'
loop_
_atom_site_label
_atom_site_type_symbol
_atom_site_fract_x
_atom_site_fract_y
_atom_site_fract_z
Al1 Al 0.000 0.500 0.000
V1 V 0.000 0.000 0.500
H1 H 0.000 0.000 0.000
Pt1 Pt 0.500 0.500 0.500
```

B:
A relaxed structure of Al2VHPt. Source: the Alexandria database, functional GGA-PBE.

Cell and atoms, written as CIF:
```
data_Al2VHPt
_chemical_formula_sum 'Al2 V1 H1 Pt1'
_cell_length_a 4.088
_cell_length_b 4.088
_cell_length_c 3.657
_cell_angle_alpha 90.00
_cell_angle_beta 90.00
_cell_angle_gamma 90.00
_space_group_name_H-M_alt 'P 4/m m m'
_space_group_IT_number 123
_space_group_name_Hall '-P 4 2'
loop_
_atom_site_label
_atom_site_type_symbol
_atom_site_fract_x
_atom_site_fract_y
_atom_site_fract_z
Al1 Al 0.000 0.500 0.000
V1 V 0.000 0.000 0.500
H1 H 0.500 0.500 0.000
Pt1 Pt 0.500 0.500 0.500
```

Q: Which of them is the least stable? A: B.

A:
A relaxed structure of Zr2AlHPt. Source: the Alexandria database, functional GGA-PBE.

Cell and atoms, written as CIF:
```
data_Zr2AlHPt
_chemical_formula_sum 'Zr2 Al1 H1 Pt1'
_cell_length_a 4.347
_cell_length_b 4.347
_cell_length_c 4.093
_cell_angle_alpha 90.00
_cell_angle_beta 90.00
_cell_angle_gamma 90.00
_space_group_name_H-M_alt 'P 4/m m m'
_space_group_IT_number 123
_space_group_name_Hall '-P 4 2'
loop_
_atom_site_label
_atom_site_type_symbol
_atom_site_fract_x
_atom_site_fract_y
_atom_site_fract_z
Zr1 Zr 0.000 0.500 0.000
Al1 Al 0.000 0.000 0.500
H1 H 0.500 0.500 0.000
Pt1 Pt 0.500 0.500 0.500
```

B:
A relaxed structure of Zr2AlHPt. Source: the Alexandria database, functional GGA-PBE.

Cell and atoms, written as CIF:
```
data_Zr2AlHPt
_chemical_formula_sum 'Zr2 Al1 H1 Pt1'
_cell_length_a 4.213
_cell_length_b 4.213
_cell_length_c 4.304
_cell_angle_alpha 90.00
_cell_angle_beta 90.00
_cell_angle_gamma 90.00
_space_group_name_H-M_alt 'P 4/m m m'
_space_group_IT_number 123
_space_group_name_Hall '-P 4 2'
loop_
_atom_site_label
_atom_site_type_symbol
_atom_site_fract_x
_atom_site_fract_y
_atom_site_fract_z
Zr1 Zr 0.000 0.500 0.000
Al1 Al 0.000 0.000 0.500
H1 H 0.000 0.000 0.000
Pt1 Pt 0.500 0.500 0.500
```

Q: Which of them is the least stable? A: B.

A:
A relaxed structure of PuAlH. Source: the Alexandria database, functional GGA-PBE.

Cell and atoms, written as CIF:
```
data_PuAlH
_chemical_formula_sum 'Pu2 Al2 H2'
_cell_length_a 2.989
_cell_length_b 2.989
_cell_length_c 11.072
_cell_angle_alpha 90.00
_cell_angle_beta 90.00
_cell_angle_gamma 90.00
_space_group_name_H-M_alt 'I 4 m m'
_space_group_IT_number 107
_space_group_name_Hall 'I 4 -2'
loop_
_atom_site_label
_atom_site_type_symbol
_atom_site_fract_x
_atom_site_fract_y
_atom_site_fract_z
Pu1 Pu 0.000 0.000 0.000
Al1 Al 0.000 0.000 0.718
H1 H 0.000 0.000 0.433
```

B:
A relaxed structure of PuAlH. Source: the Alexandria database, functional GGA-PBE.

Cell and atoms, written as CIF:
```
data_PuAlH
_chemical_formula_sum 'Pu4 Al4 H4'
_cell_length_a 6.948
_cell_length_b 2.720
_cell_length_c 8.798
_cell_angle_alpha 90.00
_cell_angle_beta 105.31
_cell_angle_gamma 90.00
_space_group_name_H-M_alt 'C 1 2/m 1'
_space_group_IT_number 12
loop_
_space_group_symop_operation_xyz
'x,y,z'
'-x,-y,-z'
'-x,y,-z'
'x,-y,z'
'x+1/2,y+1/2,z'
'-x+1/2,-y+1/2,-z'
'-x+1/2,y+1/2,-z'
'x+1/2,-y+1/2,z'
loop_
_atom_site_label
_atom_site_type_symbol
_atom_site_fract_x
_atom_site_fract_y
_atom_site_fract_z
Pu1 Pu 0.095 0.000 0.412
Al1 Al 0.194 0.500 0.858
H1 H 0.058 0.000 0.166
```

Q: Which of them is the least stable? A: B.

A:
A relaxed structure of Pu2AlH. Source: the Alexandria database, functional GGA-PBE.

Cell and atoms, written as CIF:
```
data_Pu2AlH
_chemical_formula_sum 'Pu2 Al1 H1'
_cell_length_a 3.054
_cell_length_b 3.054
_cell_length_c 7.783
_cell_angle_alpha 90.00
_cell_angle_beta 90.00
_cell_angle_gamma 90.00
_space_group_name_H-M_alt 'P 4/m m m'
_space_group_IT_number 123
_space_group_name_Hall '-P 4 2'
loop_
_atom_site_label
_atom_site_type_symbol
_atom_site_fract_x
_atom_site_fract_y
_atom_site_fract_z
Pu1 Pu 0.000 0.000 0.207
Al1 Al 0.500 0.500 0.500
H1 H 0.500 0.500 0.000
```

B:
A relaxed structure of Pu2AlH. Source: the Alexandria database, functional GGA-PBE.

Cell and atoms, written as CIF:
```
data_Pu2AlH
_chemical_formula_sum 'Pu6 Al3 H3'
_cell_length_a 2.7004
_cell_length_b 2.7004
_cell_length_c 28.4956
_cell_angle_alpha 90.00
_cell_angle_beta 90.00
_cell_angle_gamma 120.00
_space_group_name_H-M_alt 'R -3 m'
_space_group_IT_number 166
_space_group_name_Hall '-R 3 2"'
loop_
_atom_site_label
_atom_site_type_symbol
_atom_site_fract_x
_atom_site_fract_y
_atom_site_fract_z
Pu1 Pu 0.0000 0.0000 0.1075
Al1 Al 0.0000 0.0000 0.0000
H1 H 0.0000 0.0000 0.5000
```

Q: Which of them is the least stable? A: B.